Here is a relaxed structure of Zr2NbNiH from the Alexandria database. Energies are from GGA-PBE.

Structure (CIF):
```
data_Zr2NbNiH
_chemical_formula_sum 'Zr2 Nb1 Ni1 H1'
_space_group_name_H-M_alt 'P 4/m m m'
_space_group_IT_number 123
_space_group_name_Hall '-P 4 2'
_cell_length_a 4.6487
_cell_length_b 4.6487
_cell_length_c 3.4963
_cell_angle_alpha 90.00
_cell_angle_beta 90.00
_cell_angle_gamma 90.00
loop_
_atom_site_label
_atom_site_fract_x
_atom_site_fract_y
_atom_site_fract_z
_atom_site_occupancy
Zr1 0.0000 0.5000 0.0000 1
Nb1 0.0000 0.0000 0.5000 1
Ni1 0.5000 0.5000 0.5000 1
H1 0.5000 0.5000 0.0000 1
```

Results
- calculated total energy (eV per cell) = -37.2